1) A relaxed structure of Pu2GePt6, computed with PBE-GGA.

Calculated values
D(E_F) = 23.34 states/eV per cell
V = 167 Å³/f.u.

abc: 5.6711 5.6711 5.9815
angles: 90.00 90.00 120.00
With the nearest neighbours (Å) after each atom.
Space group P-3m1 (No. 164)
Unique sites:
Pu  0.3333  0.6667  0.1526  9 Pt 2.99-3.19
Ge  0.0000  0.0000  0.0000  6 Pt 2.52
Pt  0.1729  0.3457  0.6894  1 Ge 2.52, 2 Pt 2.73

***

2) A relaxed structure of Pu2GePt6, computed with PBE-GGA.

Calculated values
D(E_F) = 45.58 states/eV per cell
V = 168 Å³/f.u.

abc: 9.7042 5.6388 6.3074
angles: 90.00 103.62 90.00
With the nearest neighbours (Å) after each atom.
Space group C2/m (No. 12)
Unique sites:
Pu  0.1452  0.0000  0.3633  9 Pt 3.00-3.19, 3 Ge 3.35
Ge  0.0000  0.5000  0.5000  6 Pt 2.49-2.55
Pt  0.1235  0.5000  0.1961  1 Ge 2.49, 2 Pt 2.74
Pt  0.1335  0.2436  0.8152  1 Ge 2.55, 4 Pt 2.74-2.84

***

Stability order, top to bottom: 1), 2)